Entry 1:
Compound: CePr2I
Source: the Alexandria database
Functional: PBE
Structure: relaxed

Summary:
Calculated volume = 138.3 Å³/cell
Formation energy without anion corrections = -324.5 meV per atom

Unit cell a=3.818 b=3.818 c=11.171 alpha=80.16 beta=80.16 gamma=60.00
Last column: magnetic moment on the atom in μB.
Positions (direct):
I 0.667 0.667 0.000  0.00
Pr 0.255 0.255 0.235  0.05
Pr 0.078 0.078 0.765  0.06
Ce 0.500 0.500 0.500  1.01

***

Entry 2:
Compound: TmThGaPb
Source: the Alexandria database
Functional: PBE
Structure: relaxed

Summary:
E_form = -114 kJ/mol of formula units
Calculated volume = 107.1 Å³/cell

Unit cell a=5.330 b=5.330 c=5.330 alpha=60.00 beta=60.00 gamma=60.00
Positions (direct):
Ga 0.750 0.750 0.750
Pb 0.250 0.250 0.250
Th 0.000 0.000 0.000
Tm 0.500 0.500 0.500

***

Entry 3:
Compound: Eu2AsN
Source: the Alexandria database
Functional: PBE
Structure: relaxed

Summary:
Calculated volume = 86.1 Å³/cell
Formation energy without anion corrections = -892.3 meV per atom

Unit cell a=3.725 b=3.725 c=7.485 alpha=75.59 beta=75.59 gamma=60.00
Last column: magnetic moment on the atom in μB.
Positions (direct):
As 0.500 0.500 0.500  -0.06
Eu 0.269 0.269 0.194  6.60
Eu 0.731 0.731 0.806  6.60
N 0.000 0.000 0.000  -0.21

***

Entry 4:
Compound: BaZr2Sc
Source: the Alexandria database
Functional: PBE
Structure: relaxed

Summary:
E_form = 143 kJ/mol of formula units
Calculated volume = 119.6 Å³/cell

Unit cell a=5.489 b=5.489 c=6.990 alpha=85.78 beta=85.78 gamma=34.72
Positions (direct):
Zr 0.002 0.002 0.979
Zr 0.739 0.739 0.828
Ba 0.499 0.499 0.501
Sc 0.259 0.259 0.192

***

Entry 5:
Compound: NbP2O2
Source: the Alexandria database
Functional: PBE
Structure: relaxed

Summary:
Calculated volume = 56.6 Å³/cell
Formation energy without anion corrections = 85.3 meV per atom

Unit cell a=3.270 b=3.270 c=5.775 alpha=73.55 beta=73.55 gamma=90.00
Positions (direct):
O 0.750 0.250 0.500
O 0.250 0.750 0.500
P 0.631 0.631 0.738
P 0.369 0.369 0.262
Nb 0.000 0.000 0.000

***

Entry 6:
Compound: Nd3Y2Er
Source: the Alexandria database
Functional: PBE
Structure: relaxed

Summary:
E_form = -2 kJ/mol of formula units
Calculated volume = 399.1 Å³/cell

Unit cell a=11.654 b=6.289 c=6.289 alpha=120.02 beta=90.00 gamma=90.00
Positions (direct):
Y 0.720 0.167 0.500
Y 0.220 0.833 0.500
Y 0.220 0.500 0.833
Y 0.720 0.500 0.167
Nd 0.970 0.500 0.500
Nd 0.470 0.834 0.165
Nd 0.970 0.166 0.835
Nd 0.470 0.165 0.834
Nd 0.470 0.500 0.500
Nd 0.970 0.835 0.166
Er 0.220 0.166 0.166
Er 0.720 0.834 0.834

***

Entry 7:
Compound: PaTcSnPt
Source: the Alexandria database
Functional: PBE
Structure: relaxed

Summary:
E_form = -125 kJ/mol of formula units
Calculated volume = 79.2 Å³/cell

Unit cell a=4.821 b=4.821 c=4.821 alpha=60.00 beta=60.00 gamma=60.00
Positions (direct):
Pa 0.500 0.500 0.500
Sn 0.000 0.000 0.000
Tc 0.750 0.750 0.750
Pt 0.250 0.250 0.250

***

Entry 8:
Compound: Pr9Tl2Hg
Source: the Alexandria database
Functional: PBE
Structure: relaxed

Summary:
E_form = -231 kJ/mol of formula units
Calculated volume = 378.3 Å³/cell

Unit cell a=5.022 b=5.022 c=14.995 alpha=90.00 beta=90.00 gamma=90.00
Positions (direct):
Pr 0.500 0.500 0.000
Pr 0.000 0.500 0.500
Pr 0.500 0.000 0.835
Pr 0.500 0.500 0.669
Pr 0.500 0.000 0.165
Pr 0.000 0.500 0.165
Pr 0.000 0.500 0.835
Pr 0.500 0.000 0.500
Pr 0.500 0.500 0.331
Hg 0.000 0.000 0.000
Tl 0.000 0.000 0.668
Tl 0.000 0.000 0.332

***

Entry 9:
Compound: Nd4Sn6O19
Source: the Alexandria database
Functional: PBE
Structure: relaxed

Summary:
Calculated volume = 427.0 Å³/cell
Formation energy without anion corrections = -2071.4 meV per atom

Unit cell a=8.216 b=8.216 c=8.216 alpha=109.47 beta=109.47 gamma=109.47
Last column: magnetic moment on the atom in μB.
Positions (direct):
O 0.037 0.285 0.677  0.11
O 0.392 0.715 0.752  0.11
O 0.677 0.037 0.285  0.11
O 0.963 0.640 0.248  0.11
O 0.715 0.752 0.392  0.11
O 0.640 0.248 0.963  0.11
O 0.248 0.963 0.640  0.11
O 0.000 0.348 0.348  0.09
O 0.652 0.000 0.652  0.09
O 0.285 0.677 0.037  0.11
O 0.000 0.652 0.652  0.09
O 0.348 0.348 0.000  0.09
O 0.348 0.000 0.348  0.09
O 0.652 0.652 0.000  0.09
O 0.000 0.000 0.000  0.01
O 0.752 0.392 0.715  0.11
O 0.360 0.323 0.608  0.11
O 0.323 0.608 0.360  0.11
O 0.608 0.360 0.323  0.11
Nd 0.000 0.706 0.000  -0.01
Nd 0.706 0.000 0.000  -0.01
Nd 0.000 0.000 0.706  -0.01
Nd 0.294 0.294 0.294  -0.01
Sn 0.665 0.500 0.165  -0.01
Sn 0.165 0.665 0.500  -0.01
Sn 0.500 0.835 0.335  -0.01
Sn 0.500 0.165 0.665  -0.01
Sn 0.835 0.335 0.500  -0.01
Sn 0.335 0.500 0.835  -0.01

***

Entry 10:
Compound: Ca6ZnPb5
Source: the Alexandria database
Functional: PBE
Structure: relaxed

Summary:
E_form = -564 kJ/mol of formula units
Calculated volume = 355.6 Å³/cell

Unit cell a=5.595 b=7.550 c=8.871 alpha=90.00 beta=71.62 gamma=90.00
Positions (direct):
Ca 0.836 0.242 0.329
Ca 0.500 0.756 0.000
Ca 0.500 0.244 0.000
Ca 0.836 0.758 0.329
Ca 0.164 0.242 0.671
Ca 0.164 0.758 0.671
Pb 0.333 0.500 0.334
Pb 0.000 0.500 0.000
Pb 0.662 0.000 0.676
Pb 0.667 0.500 0.666
Pb 0.338 0.000 0.324
Zn 0.000 0.000 0.000

***

Entry 11:
Compound: Tm3SnSe2
Source: the Alexandria database
Functional: PBE
Structure: relaxed

Summary:
Calculated volume = 369.5 Å³/cell
Formation energy without anion corrections = -1113.4 meV per atom

Unit cell a=5.806 b=8.502 c=8.502 alpha=118.31 beta=90.00 gamma=90.00
Positions (direct):
Tm 0.493 0.509 0.173
Tm 0.993 0.192 0.192
Tm 0.493 0.808 0.808
Tm 0.493 0.173 0.509
Tm 0.993 0.491 0.827
Tm 0.993 0.827 0.491
Se 0.493 0.835 0.486
Se 0.493 0.486 0.835
Se 0.993 0.514 0.165
Se 0.993 0.165 0.514
Sn 0.493 0.155 0.155
Sn 0.993 0.845 0.845

***

Entry 12:
Compound: Cd3BPt6
Source: the Alexandria database
Functional: PBE
Structure: relaxed

Summary:
E_form = -202 kJ/mol of formula units
Calculated volume = 161.3 Å³/cell

Unit cell a=5.137 b=5.137 c=7.058 alpha=90.00 beta=90.00 gamma=120.00
Positions (direct):
Pt 0.658 0.658 0.828
Pt 0.658 0.000 0.172
Pt 0.000 0.342 0.828
Pt 0.342 0.342 0.172
Pt 0.000 0.658 0.172
Pt 0.342 0.000 0.828
Cd 0.333 0.667 0.500
Cd 0.667 0.333 0.500
Cd 0.000 0.000 0.500
B 0.000 0.000 0.000